Compound: HfMgMn4
Source: the Alexandria database
Functional: PBE
Structure: relaxed

Cell and atoms, written as CIF:
```
data_HfMgMn4
_cell_length_a 6.878
_cell_length_b 6.878
_cell_length_c 6.878
_cell_angle_alpha 90.00
_cell_angle_beta 90.00
_cell_angle_gamma 90.00
_space_group_name_H-M_alt 'F -4 3 m'
_space_group_IT_number 216
_space_group_name_Hall 'F -4 2 3'
loop_
_atom_site_label
_atom_site_type_symbol
_atom_site_fract_x
_atom_site_fract_y
_atom_site_fract_z
_atom_site_occupancy
Hf1 Hf 0.000 0.000 0.000 1
Mg1 Mg 0.250 0.250 0.750 1
Mn1 Mn 0.125 0.125 0.375 1
```

Computed properties:
The value obtained for the formation energy from the elements is -0.04 eV per atom.



Compound: Na3Cr3SnSe8
Source: the Alexandria database
Functional: PBE
Structure: relaxed

Cell and atoms, written as CIF:
```
data_Na3Cr3SnSe8
_cell_length_a 7.5753
_cell_length_b 7.5753
_cell_length_c 20.8088
_cell_angle_alpha 90.00
_cell_angle_beta 90.00
_cell_angle_gamma 120.00
_space_group_name_H-M_alt 'R -3 m'
_space_group_IT_number 166
_space_group_name_Hall '-R 3 2"'
loop_
_atom_site_label
_atom_site_type_symbol
_atom_site_fract_x
_atom_site_fract_y
_atom_site_fract_z
_atom_site_occupancy
Na1 Na 0.0000 0.5000 0.0000 1
Cr1 Cr 0.0000 0.5000 0.5000 1
Sn1 Sn 0.0000 0.0000 0.5000 1
Se1 Se 0.0000 0.0000 0.2326 1
Se2 Se 0.0199 0.5100 0.7641 1
```

Computed properties:
The raw formation energy is -729 meV per atom.



Compound: DyThCu10
Source: the Alexandria database
Functional: PBE
Structure: relaxed

Cell and atoms, written as CIF:
```
data_DyThCu10
_cell_length_a 4.107
_cell_length_b 5.109
_cell_length_c 8.749
_cell_angle_alpha 90.00
_cell_angle_beta 90.00
_cell_angle_gamma 90.00
_space_group_name_H-M_alt 'P m m m'
_space_group_IT_number 47
_space_group_name_Hall '-P 2 2'
loop_
_atom_site_label
_atom_site_type_symbol
_atom_site_fract_x
_atom_site_fract_y
_atom_site_fract_z
_atom_site_occupancy
Dy1 Dy 0.000 0.000 0.000 1
Th1 Th 0.000 0.500 0.500 1
Cu1 Cu 0.000 0.000 0.328 1
Cu2 Cu 0.000 0.500 0.162 1
Cu3 Cu 0.500 0.000 0.500 1
Cu4 Cu 0.500 0.250 0.249 1
Cu5 Cu 0.500 0.500 0.000 1
```

Computed properties:
The value obtained for the formation energy from the elements is -0.17 eV per atom.



Compound: Be3TlAg
Source: the Alexandria database
Functional: PBE
Structure: relaxed

Cell and atoms, written as CIF:
```
data_Be3TlAg
_cell_length_a 4.554
_cell_length_b 4.554
_cell_length_c 4.554
_cell_angle_alpha 90.00
_cell_angle_beta 90.00
_cell_angle_gamma 90.00
_space_group_name_H-M_alt 'P m -3 m'
_space_group_IT_number 221
_space_group_name_Hall '-P 4 2 3'
loop_
_atom_site_label
_atom_site_type_symbol
_atom_site_fract_x
_atom_site_fract_y
_atom_site_fract_z
_atom_site_occupancy
Be1 Be 0.000 0.000 0.500 1
Tl1 Tl 0.000 0.000 0.000 1
Ag1 Ag 0.500 0.500 0.500 1
```

Computed properties:
The value obtained for the formation energy from the elements is 1.22 eV per atom.



Compound: TePtPb2
Source: the Alexandria database
Functional: PBE
Structure: relaxed

Cell and atoms, written as CIF:
```
data_TePtPb2
_cell_length_a 3.708
_cell_length_b 4.449
_cell_length_c 13.358
_cell_angle_alpha 90.00
_cell_angle_beta 90.00
_cell_angle_gamma 90.00
_space_group_name_H-M_alt 'I m m m'
_space_group_IT_number 71
_space_group_name_Hall '-I 2 2'
loop_
_atom_site_label
_atom_site_type_symbol
_atom_site_fract_x
_atom_site_fract_y
_atom_site_fract_z
_atom_site_occupancy
Te1 Te 0.000 0.000 0.000 1
Pt1 Pt 0.000 0.000 0.500 1
Pb1 Pb 0.000 0.500 0.176 1
```

Computed properties:
The raw formation energy is -75 meV per atom.



Compound: CdTcOs2
Source: the Alexandria database
Functional: PBE
Structure: relaxed

Cell and atoms, written as CIF:
```
data_CdTcOs2
_cell_length_a 2.7863
_cell_length_b 2.7863
_cell_length_c 27.9106
_cell_angle_alpha 90.00
_cell_angle_beta 90.00
_cell_angle_gamma 120.00
_space_group_name_H-M_alt 'R -3 m'
_space_group_IT_number 166
_space_group_name_Hall '-R 3 2"'
loop_
_atom_site_label
_atom_site_type_symbol
_atom_site_fract_x
_atom_site_fract_y
_atom_site_fract_z
_atom_site_occupancy
Cd1 Cd 0.0000 0.0000 0.0000 1
Tc1 Tc 0.0000 0.0000 0.5000 1
Os1 Os 0.0000 0.0000 0.2427 1
```

Computed properties:
The value obtained for the formation energy from the elements is 0.24 eV per atom.



Compound: Na2InHg6
Source: the Alexandria database
Functional: PBE
Structure: relaxed

Cell and atoms, written as CIF:
```
data_Na2InHg6
_cell_length_a 9.274
_cell_length_b 9.667
_cell_length_c 5.135
_cell_angle_alpha 90.00
_cell_angle_beta 90.00
_cell_angle_gamma 90.00
_space_group_name_H-M_alt 'P n n m'
_space_group_IT_number 58
_space_group_name_Hall '-P 2 2n'
loop_
_atom_site_label
_atom_site_type_symbol
_atom_site_fract_x
_atom_site_fract_y
_atom_site_fract_z
_atom_site_occupancy
Na1 Na 0.168 0.228 0.000 1
In1 In 0.000 0.000 0.500 1
Hg1 Hg 0.003 0.333 0.500 1
Hg2 Hg 0.164 0.566 0.000 1
Hg3 Hg 0.166 0.894 0.000 1
```

Computed properties:
The value obtained for the formation energy from the elements is -0.17 eV per atom.



Compound: LaSmPd
Source: the Alexandria database
Functional: PBE
Structure: relaxed

Cell and atoms, written as CIF:
```
data_LaSmPd
_cell_length_a 7.156
_cell_length_b 7.156
_cell_length_c 7.156
_cell_angle_alpha 90.00
_cell_angle_beta 90.00
_cell_angle_gamma 90.00
_space_group_name_H-M_alt 'F -4 3 m'
_space_group_IT_number 216
_space_group_name_Hall 'F -4 2 3'
loop_
_atom_site_label
_atom_site_type_symbol
_atom_site_fract_x
_atom_site_fract_y
_atom_site_fract_z
_atom_site_occupancy
La1 La 0.000 0.000 0.000 1
Sm1 Sm 0.000 0.000 0.500 1
Pd1 Pd 0.250 0.250 0.750 1
```

Computed properties:
The value obtained for the formation energy from the elements is -0.38 eV per atom.



Compound: ZrCuNiAg
Source: the Alexandria database
Functional: PBE
Structure: relaxed

Cell and atoms, written as CIF:
```
data_ZrCuNiAg
_cell_length_a 6.298
_cell_length_b 6.298
_cell_length_c 6.298
_cell_angle_alpha 90.00
_cell_angle_beta 90.00
_cell_angle_gamma 90.00
_space_group_name_H-M_alt 'F -4 3 m'
_space_group_IT_number 216
_space_group_name_Hall 'F -4 2 3'
loop_
_atom_site_label
_atom_site_type_symbol
_atom_site_fract_x
_atom_site_fract_y
_atom_site_fract_z
_atom_site_occupancy
Zr1 Zr 0.000 0.000 0.000 1
Cu1 Cu 0.250 0.250 0.750 1
Ni1 Ni 0.250 0.250 0.250 1
Ag1 Ag 0.000 0.000 0.500 1
```

Computed properties:
The value obtained for the formation energy from the elements is -0.11 eV per atom.



Compound: Pm6AlAu5
Source: the Alexandria database
Functional: PBE
Structure: relaxed

Cell and atoms, written as CIF:
```
data_Pm6AlAu5
_cell_length_a 5.175
_cell_length_b 7.444
_cell_length_c 8.298
_cell_angle_alpha 90.00
_cell_angle_beta 108.20
_cell_angle_gamma 90.00
_space_group_name_H-M_alt 'P 1 2/m 1'
_space_group_IT_number 10
_space_group_name_Hall '-P 2y'
loop_
_atom_site_label
_atom_site_type_symbol
_atom_site_fract_x
_atom_site_fract_y
_atom_site_fract_z
_atom_site_occupancy
Pm1 Pm 0.000 0.241 0.000 1
Pm2 Pm 0.332 0.252 0.663 1
Al1 Al 0.500 0.500 0.000 1
Au1 Au 0.149 0.500 0.302 1
Au2 Au 0.168 0.000 0.339 1
Au3 Au 0.500 0.000 0.000 1
```

Computed properties:
The value obtained for the formation energy from the elements is -0.70 eV per atom.



Compound: BaBe2Co
Source: the Alexandria database
Functional: PBE
Structure: relaxed

Cell and atoms, written as CIF:
```
data_BaBe2Co
_cell_length_a 4.885
_cell_length_b 4.885
_cell_length_c 2.947
_cell_angle_alpha 90.00
_cell_angle_beta 90.00
_cell_angle_gamma 90.00
_space_group_name_H-M_alt 'P 4/m m m'
_space_group_IT_number 123
_space_group_name_Hall '-P 4 2'
loop_
_atom_site_label
_atom_site_type_symbol
_atom_site_fract_x
_atom_site_fract_y
_atom_site_fract_z
_atom_site_occupancy
Ba1 Ba 0.000 0.000 0.000 1
Be1 Be 0.000 0.500 0.500 1
Co1 Co 0.500 0.500 0.000 1
```

Computed properties:
The value obtained for the formation energy from the elements is 1.21 eV per atom.



Compound: LaPr4Sn15
Source: the Alexandria database
Functional: PBE
Structure: relaxed

Cell and atoms, written as CIF:
```
data_LaPr4Sn15
_cell_length_a 4.737
_cell_length_b 4.737
_cell_length_c 24.586
_cell_angle_alpha 90.00
_cell_angle_beta 90.00
_cell_angle_gamma 90.00
_space_group_name_H-M_alt 'P 4/m m m'
_space_group_IT_number 123
_space_group_name_Hall '-P 4 2'
loop_
_atom_site_label
_atom_site_type_symbol
_atom_site_fract_x
_atom_site_fract_y
_atom_site_fract_z
_atom_site_occupancy
La1 La 0.000 0.000 0.000 1
Pr1 Pr 0.000 0.000 0.200 1
Pr2 Pr 0.000 0.000 0.400 1
Sn1 Sn 0.000 0.500 0.100 1
Sn2 Sn 0.000 0.500 0.300 1
Sn3 Sn 0.000 0.500 0.500 1
Sn4 Sn 0.500 0.500 0.000 1
Sn5 Sn 0.500 0.500 0.200 1
Sn6 Sn 0.500 0.500 0.400 1
```

Computed properties:
The value obtained for the formation energy from the elements is -0.52 eV per atom.



VASP energy, respectively: -8.075; -5.042; -4.580; -2.061; -4.225; -8.193; -0.964; -5.329; -5.430; -4.757; -2.912; -4.721 eV/atom.